DFT (PBE) results for a relaxed AlPSe2 crystal.

Uncorrected energy in eV per atom: -4.019
SG: No. 65

Cell lengths 4.6905, 4.6905, 3.7388 Å; angles 90.00, 90.00, 106.86 degrees
Sites, in units of the cell vectors:
Al 0.0000 0.0000 0.0000
P 0.5000 0.5000 0.0000
Se 0.2465 0.7535 0.5000
Se 0.7535 0.2465 0.5000



DFT (PBE) results for a relaxed AlPSe2 crystal.

Uncorrected energy in eV per atom: -3.854
SG: No. 65

Cell lengths 4.0477, 4.0477, 7.1750 Å; angles 90.00, 90.00, 127.32 degrees
Sites, in units of the cell vectors:
Al 0.0000 0.0000 0.0000
P 0.0000 0.0000 0.5000
Se 0.5000 0.5000 0.2473
Se 0.5000 0.5000 0.7527



DFT (PBE) results for a relaxed AlPSe2 crystal.

Uncorrected energy in eV per atom: -3.749
SG: No. 35

Cell lengths 2.8180, 2.8180, 10.6445 Å; angles 90.00, 90.00, 102.78 degrees
Sites, in units of the cell vectors:
Al 0.0000 0.0000 0.0000
P 0.5000 0.5000 0.1640
Se 0.0000 0.0000 0.4709
Se 0.5000 0.5000 0.8003



DFT (PBE) results for a relaxed AlPSe2 crystal.

Uncorrected energy in eV per atom: -4.099
SG: No. 139

Cell lengths 4.6631, 4.6631, 4.6631 Å; angles 110.83, 110.83, 106.79 degrees
Sites, in units of the cell vectors:
Al 0.0000 0.0000 0.0000
P 0.5000 0.5000 0.0000
Se 0.0000 0.5000 0.5000
Se 0.5000 0.0000 0.5000



DFT (PBE) results for a relaxed AlPSe2 crystal.

Uncorrected energy in eV per atom: -3.630
SG: No. 47

Cell lengths 3.2624, 4.6823, 4.7908 Å; angles 90.00, 90.00, 90.00 degrees
Sites, in units of the cell vectors:
Al 0.0000 0.0000 0.0000
P 0.5000 0.5000 0.0000
Se 0.0000 0.5000 0.5000
Se 0.5000 0.0000 0.5000



DFT (PBE) results for a relaxed Al4PSe crystal.

Uncorrected energy in eV per atom: -3.608
SG: No. 216

Cell lengths 5.3586, 5.3586, 5.3586 Å; angles 60.00, 60.00, 60.00 degrees
Sites, in units of the cell vectors:
Al 0.1246 0.1246 0.1246
Al 0.1246 0.1246 0.6263
Al 0.1246 0.6263 0.1246
Al 0.6263 0.1246 0.1246
P 0.7500 0.7500 0.7500
Se 0.5000 0.5000 0.5000



| no. | M_tot (Bohr magnetons per cell) | calculated volume (Å³/cell) |
| --- | --- | --- |
| 1 | 0.000 | 78.7 |
| 2 | 0.000 | 93.5 |
| 3 | 0.000 | 82.4 |
| 4 | 0.000 | 77.9 |
| 5 | 0.000 | 73.2 |
| 6 | 0.000 | 108.8 |